1.
An optimized crystal structure of PSeOF2. Source: Alexandria via LeMat-Bulk, functional PBE.

Fermi-level density of states = 1.65 states/eV/f.u.
Offset from the most stable computed form = 0.00 eV/f.u.

Unit cell a=4.482 b=4.482 c=3.504 alpha=90.00 beta=90.00 gamma=90.00
Fractional positions:
P: 0.000 0.000 0.000
Se: 0.500 0.500 0.500
O: 0.000 0.000 0.500
F: 0.000 0.500 0.000
F: 0.500 0.000 0.000


2.
An optimized crystal structure of Sc2InCl. Source: Alexandria via LeMat-Bulk, functional PBE.

Fermi-level density of states = 4.34 states/eV/f.u.
Offset from the most stable computed form = 1.70 eV/f.u.

Unit cell a=4.101 b=4.101 c=10.844 alpha=90.00 beta=90.00 gamma=90.00
Fractional positions:
Sc: 0.000 0.000 0.000
Sc: 0.000 0.500 0.250
Sc: 0.500 0.000 0.750
Sc: 0.500 0.500 0.500
In: 0.000 0.000 0.500
In: 0.500 0.500 0.000
Cl: 0.000 0.500 0.750
Cl: 0.500 0.000 0.250


3.
An optimized crystal structure of NdTe2O8. Source: Alexandria via LeMat-Bulk, functional PBE.

Fermi-level density of states = 8.40 states/eV/f.u.
Offset from the most stable computed form = 1.97 eV/f.u.

Unit cell a=6.804 b=6.804 c=6.804 alpha=134.37 beta=134.37 gamma=66.51
Fractional positions:
Nd: 0.000 0.000 0.000
Te: 0.250 0.750 0.500
Te: 0.750 0.250 0.500
O: 0.046 0.556 0.879
O: 0.167 0.046 0.490
O: 0.323 0.444 0.490
O: 0.444 0.954 0.121
O: 0.556 0.677 0.510
O: 0.677 0.167 0.121
O: 0.833 0.323 0.879
O: 0.954 0.833 0.510


4.
An optimized crystal structure of K2SrAu. Source: Alexandria via LeMat-Bulk, functional PBE.

Fermi-level density of states = 2.71 states/eV/f.u.
Offset from the most stable computed form = 0.11 eV/f.u.
ΔE_f = -0.25 eV per atom

Unit cell a=7.989 b=4.571 c=11.560 alpha=90.00 beta=101.74 gamma=90.00
Fractional positions:
K: 0.000 0.000 0.000
K: 0.210 0.000 0.653
K: 0.500 0.500 0.000
K: 0.710 0.500 0.653
Sr: 0.431 0.000 0.324
Sr: 0.931 0.500 0.324
Au: 0.221 0.500 0.182
Au: 0.721 0.000 0.182